[1]
PBE DyZr2, optimized geometry; magnetic moment = 0.0 μB per formula unit; symmetry = I4/mmm, No. 139; energy of formation = 0.104 eV/atom
1.0
-1.633 1.633 7.138
1.633 -1.633 7.138
1.633 1.633 -7.138
Dy Zr
1 2
Direct
0.000 0.000 0.000
0.326 0.326 0.000
0.674 0.674 0.000

***

[2]
PBE DyZr2, optimized geometry; magnetic moment = 0.0 μB per formula unit; symmetry = Cmcm, No. 63; energy of formation = 0.041 eV/atom
1.0
-4.818 -2.040 -2.340
5.042 -2.023 -8.621
1.161 -4.815 1.809
Zr Dy
8 4
Direct
0.823 0.822 0.500
0.010 0.322 0.000
0.510 0.178 0.000
0.823 0.178 0.500
0.323 0.678 0.500
0.510 0.822 0.000
0.010 0.678 0.000
0.323 0.322 0.500
0.485 0.500 0.000
0.985 0.000 0.000
0.348 0.000 0.500
0.848 0.500 0.500

***

[3]
PBE DyZr2, optimized geometry; magnetic moment = 2.2 μB per formula unit; symmetry = Fd-3m, No. 227; energy of formation = 0.242 eV/atom
1.0
-1.296 -5.463 2.368
-3.392 -0.407 5.046
-5.679 -2.187 -0.314
Zr Dy
4 2
Direct
0.625 0.625 0.125
0.125 0.625 0.625
0.625 0.125 0.625
0.625 0.625 0.625
0.000 0.000 0.000
0.250 0.250 0.250